# ScAg3Ir | Alexandria via LeMat-Bulk | PBE-GGA | optimized geometry
# Electronic total energy   -3.8385 eV/atom
# Total magnetization   0.02 μB per atom
# Formation energy from the elements   0.91 eV/atom
# Energy above the lowest structure with this stoichiometry   0.000 eV per atom
data_ScAg3Ir
_space_group_name_H-M_alt 'P m -3 m'
_space_group_IT_number 221
_space_group_name_Hall '-P 4 2 3'
_cell_length_a 5.0020
_cell_length_b 5.0020
_cell_length_c 5.0020
_cell_angle_alpha 90.00
_cell_angle_beta 90.00
_cell_angle_gamma 90.00
loop_
_atom_site_label
_atom_site_type_symbol
_atom_site_fract_x
_atom_site_fract_y
_atom_site_fract_z
Sc1 Sc 0.0000 0.0000 0.0000
Ag1 Ag 0.0000 0.5000 0.5000
Ir1 Ir 0.5000 0.5000 0.5000

***

# MgTe2IN | Alexandria via LeMat-Bulk | PBE-GGA | optimized geometry
# Electronic total energy   -2.9819 eV/atom
# Formation energy (no corrections)   0.57 eV per atom
# Total magnetization   0.00 μB per atom
# Energy above the lowest structure with this stoichiometry   0.000 eV per atom
data_MgTe2IN
_space_group_name_H-M_alt 'P 4/m m m'
_space_group_IT_number 123
_space_group_name_Hall '-P 4 2'
_cell_length_a 4.9385
_cell_length_b 4.9385
_cell_length_c 4.8319
_cell_angle_alpha 90.00
_cell_angle_beta 90.00
_cell_angle_gamma 90.00
loop_
_atom_site_label
_atom_site_type_symbol
_atom_site_fract_x
_atom_site_fract_y
_atom_site_fract_z
Mg1 Mg 0.0000 0.0000 0.0000
Te1 Te 0.0000 0.5000 0.5000
I1 I 0.5000 0.5000 0.0000
N1 N 0.5000 0.5000 0.5000

***

# Zr2BrCl | Alexandria via LeMat-Bulk | PBE-GGA | optimized geometry
# Electronic total energy   -6.2876 eV/atom
# Formation energy (no corrections)   -1.13 eV per atom
# Total magnetization   0.00 μB per atom
# Energy above the lowest structure with this stoichiometry   0.000 eV per atom
data_Zr2BrCl
_space_group_name_H-M_alt 'R 3 m'
_space_group_IT_number 160
_space_group_name_Hall 'R 3 -2"'
_cell_length_a 3.4925
_cell_length_b 3.4925
_cell_length_c 29.8476
_cell_angle_alpha 90.00
_cell_angle_beta 90.00
_cell_angle_gamma 120.00
loop_
_atom_site_label
_atom_site_type_symbol
_atom_site_fract_x
_atom_site_fract_y
_atom_site_fract_z
Zr1 Zr 0.0000 0.0000 0.0000
Zr2 Zr 0.0000 0.0000 0.2538
Br1 Br 0.0000 0.0000 0.7307
Cl1 Cl 0.0000 0.0000 0.5291

***

# Ca2Ga6Ru | Alexandria via LeMat-Bulk | PBE-GGA | optimized geometry
# Electronic total energy   -3.9037 eV/atom
# Total magnetization   0.00 μB per atom
# Formation energy from the elements   -0.41 eV/atom
data_Ca2Ga6Ru
_space_group_name_H-M_alt 'P -3 m 1'
_space_group_IT_number 164
_space_group_name_Hall '-P 3 2"'
_cell_length_a 5.8224
_cell_length_b 5.8224
_cell_length_c 5.8935
_cell_angle_alpha 90.00
_cell_angle_beta 90.00
_cell_angle_gamma 120.00
loop_
_atom_site_label
_atom_site_type_symbol
_atom_site_fract_x
_atom_site_fract_y
_atom_site_fract_z
Ca1 Ca 0.3333 0.6667 0.3548
Ga1 Ga 0.1706 0.3411 0.8244
Ru1 Ru 0.0000 0.0000 0.5000